# 1
# Y2SbCl

A relaxed structure of Y2SbCl (GGA-PBEsol, Alexandria).

Calculated density (kg/m3): 5845
Formation energy (no corrections) (eV/atom): -1.072
ΔE to the lowest computed polymorph (meV/atom): 140
Total magnetization (μB/cell): 0.75
E (Ha/atom): -0.2251

Lattice parameters (Å, degrees): 5.115 5.115 3.638 90.00 90.00 90.00
Sites, in units of the cell vectors:
Y 0.000 0.500 0.000
Y 0.500 0.000 0.000
Sb 0.000 0.000 0.500
Cl 0.500 0.500 0.500

# 2
# Rb2InGe4As7

A relaxed structure of Rb2InGe4As7 (GGA-PBEsol, Alexandria).

Calculated density (kg/m3): 4723
Calculated formation energy (eV/atom): -0.17
Total magnetization (μB/cell): 0.00
E (Ha/atom): -0.1652

Lattice parameters (Å, degrees): 8.465 8.465 12.271 90.48 90.48 26.11
Sites, in units of the cell vectors:
Rb 0.000 0.000 0.000
Rb 0.529 0.529 0.522
In 0.803 0.803 0.573
Ge 0.235 0.235 0.794
Ge 0.303 0.303 0.291
Ge 0.738 0.738 0.059
Ge 0.928 0.928 0.715
As 0.155 0.155 0.319
As 0.194 0.194 0.603
As 0.328 0.328 0.094
As 0.381 0.381 0.829
As 0.624 0.624 0.194
As 0.665 0.665 0.884
As 0.872 0.872 0.373

# 3
# Na2PPdRu

A relaxed structure of Na2PPdRu (GGA-PBEsol, Alexandria).

Calculated density (kg/m3): 4257
Calculated formation energy (eV/atom): 1.22
Total magnetization (μB/cell): 0.45
E (Ha/atom): -0.1367

Lattice parameters (Å, degrees): 4.864 4.864 4.691 90.00 90.00 90.00
Sites, in units of the cell vectors:
Na 0.000 0.500 0.000
Na 0.500 0.000 0.000
P 0.000 0.000 0.500
Pd 0.500 0.500 0.000
Ru 0.500 0.500 0.500

# 4
# CrIrBr2

A relaxed structure of CrIrBr2 (GGA-PBEsol, Alexandria).

Calculated density (kg/m3): 8303
Formation energy (no corrections) (eV/atom): 0.741
ΔE to the lowest computed polymorph (meV/atom): 145
Total magnetization (μB/cell): 4.56
E (Ha/atom): -0.1915

Lattice parameters (Å, degrees): 4.512 4.512 3.974 90.00 90.00 92.91
Sites, in units of the cell vectors:
Cr 0.000 0.000 0.000
Ir 0.500 0.500 0.000
Br 0.265 0.735 0.500
Br 0.735 0.265 0.500

# 5
# ZrTcPb2

A relaxed structure of ZrTcPb2 (GGA-PBEsol, Alexandria).

Calculated density (kg/m3): 11757
Calculated formation energy (eV/atom): 0.22
ΔE to the lowest computed polymorph (meV/atom): 0
Total magnetization (μB/cell): 0.00
E (Ha/atom): -0.2522

Lattice parameters (Å, degrees): 5.544 5.544 5.162 111.02 111.02 35.46
Sites, in units of the cell vectors:
Zr 0.000 0.000 0.000
Tc 0.696 0.696 0.280
Pb 0.229 0.229 0.791
Pb 0.447 0.447 0.449

# 6
# LaZr2P

A relaxed structure of LaZr2P (GGA-PBEsol, Alexandria).

Calculated density (kg/m3): 7280
Calculated formation energy (eV/atom): -0.37
Total magnetization (μB/cell): 0.00
E (Ha/atom): -0.2828

Lattice parameters (Å, degrees): 4.473 4.473 4.017 90.00 90.00 90.00
Sites, in units of the cell vectors:
La 0.000 0.000 0.000
Zr 0.000 0.500 0.500
Zr 0.500 0.000 0.500
P 0.500 0.500 0.000

# 7
# Cd2FeTe

A relaxed structure of Cd2FeTe (GGA-PBEsol, Alexandria).

Calculated density (kg/m3): 8168
Formation energy (no corrections) (eV/atom): 0.341
Total magnetization (μB/cell): 2.35
E (Ha/atom): -0.1242

Lattice parameters (Å, degrees): 3.011 3.011 9.183 90.00 90.00 94.27
Sites, in units of the cell vectors:
Cd 0.000 0.000 0.191
Cd 0.000 0.000 0.809
Fe 0.500 0.500 0.000
Te 0.500 0.500 0.500

# 8
# CdOs3

A relaxed structure of CdOs3 (GGA-PBEsol, Alexandria).

Calculated density (kg/m3): 18795
Calculated formation energy (eV/atom): 0.57
ΔE to the lowest computed polymorph (meV/atom): 14
Total magnetization (μB/cell): 0.00
E (Ha/atom): -0.3267

Lattice parameters (Å, degrees): 4.795 4.795 4.837 99.22 99.22 33.40
Sites, in units of the cell vectors:
Cd 0.000 0.000 0.000
Os 0.238 0.238 0.728
Os 0.500 0.500 0.500
Os 0.762 0.762 0.272

# 9
# TlMo6Se4S4

A relaxed structure of TlMo6Se4S4 (GGA-PBEsol, Alexandria).

Calculated density (kg/m3): 6900
Formation energy (no corrections) (eV/atom): -0.631
Total magnetization (μB/cell): 0.00
E (Ha/atom): -0.2833

Lattice parameters (Å, degrees): 6.619 6.673 6.676 89.17 87.87 89.89
Sites, in units of the cell vectors:
Tl 0.000 0.000 0.000
Mo 0.219 0.577 0.418
Mo 0.405 0.237 0.558
Mo 0.431 0.599 0.760
Mo 0.553 0.434 0.240
Mo 0.580 0.785 0.437
Mo 0.762 0.458 0.585
Se 0.106 0.395 0.753
Se 0.384 0.766 0.117
Se 0.595 0.263 0.883
Se 0.747 0.136 0.388
S 0.231 0.265 0.258
S 0.261 0.886 0.603
S 0.749 0.771 0.742
S 0.869 0.625 0.271

# 10
# BaIn

A relaxed structure of BaIn (GGA-PBEsol, Alexandria).

Calculated density (kg/m3): 6040
Calculated formation energy (eV/atom): -0.19
Total magnetization (μB/cell): 0.00
E (Ha/atom): -0.1013

Lattice parameters (Å, degrees): 5.809 5.809 5.809 60.00 60.00 60.00
Sites, in units of the cell vectors:
Ba 0.125 0.125 0.125
Ba 0.875 0.875 0.875
In 0.375 0.375 0.375
In 0.625 0.625 0.625

# 11
# Cs2LiCuH

A relaxed structure of Cs2LiCuH (GGA-PBEsol, Alexandria).

Calculated density (kg/m3): 3627
Total magnetization (μB/cell): 0.00
E (Ha/atom): -0.0711

Lattice parameters (Å, degrees): 6.555 6.555 3.595 90.00 90.00 90.00
Sites, in units of the cell vectors:
Cs 0.000 0.500 0.000
Cs 0.500 0.000 0.000
Li 0.000 0.000 0.000
Cu 0.500 0.500 0.500
H 0.000 0.000 0.500

# 12
# CsFe2S3

A relaxed structure of CsFe2S3 (GGA-PBEsol, Alexandria).

Calculated density (kg/m3): 4293
Formation energy (no corrections) (eV/atom): -0.772
Total magnetization (μB/cell): 0.00
E (Ha/atom): -0.2245

Lattice parameters (Å, degrees): 7.255 7.255 5.096 90.00 90.00 100.61
Sites, in units of the cell vectors:
Cs 0.169 0.831 0.750
Cs 0.831 0.169 0.250
Fe 0.365 0.365 0.000
Fe 0.365 0.365 0.500
Fe 0.635 0.635 0.000
Fe 0.635 0.635 0.500
S 0.133 0.341 0.750
S 0.341 0.133 0.250
S 0.392 0.608 0.250
S 0.608 0.392 0.750
S 0.659 0.867 0.750
S 0.867 0.659 0.250

Q: Look up the calculated density of the eleventh one.
A: 3627 kg/m3

Q: Which value of calculated density does entry 5 give?
A: 11757 kg/m3

Q: Which of these has the highest total magnetization?
A: CrIrBr2